Record 1
# GGA-PBE RbSrSnH2, optimized geometry
# Crystal system: tetragonal
data_RbSrSnH2
_chemical_formula_sum 'Rb1 Sr1 Sn1 H2'
_space_group_name_H-M_alt 'P 1'
_space_group_IT_number 1
_cell_length_a 4.9149
_cell_length_b 4.9149
_cell_length_c 6.7179
_cell_angle_alpha 90.00
_cell_angle_beta 90.00
_cell_angle_gamma 90.00
loop_
_space_group_symop_operation_xyz
'x,y,z'
loop_
_atom_site_label
_atom_site_type_symbol
_atom_site_fract_x
_atom_site_fract_y
_atom_site_fract_z
Rb1 Rb 0.0000 0.0000 0.0000
Sr1 Sr 0.5000 0.5000 0.0000
Sn1 Sn 0.0000 0.0000 0.5000
H1 H 0.0000 0.5000 0.5000
H2 H 0.5000 0.0000 0.5000

Record 2
# GGA-PBE RbTc2SnH, optimized geometry
# Crystal system: tetragonal
data_RbTc2SnH
_chemical_formula_sum 'Rb1 Tc2 Sn1 H1'
_space_group_name_H-M_alt 'P 1'
_space_group_IT_number 1
_cell_length_a 4.1855
_cell_length_b 4.1855
_cell_length_c 5.0615
_cell_angle_alpha 90.00
_cell_angle_beta 90.00
_cell_angle_gamma 90.00
loop_
_space_group_symop_operation_xyz
'x,y,z'
loop_
_atom_site_label
_atom_site_type_symbol
_atom_site_fract_x
_atom_site_fract_y
_atom_site_fract_z
Rb1 Rb 0.0000 0.0000 0.0000
Tc1 Tc 0.0000 0.5000 0.5000
Tc2 Tc 0.5000 0.0000 0.5000
Sn1 Sn 0.5000 0.5000 0.0000
H1 H 0.5000 0.5000 0.5000

Record 3
# GGA-PBE RbSn2HW, optimized geometry
# Crystal system: tetragonal
data_RbSn2HW
_chemical_formula_sum 'Rb1 Sn2 H1 W1'
_space_group_name_H-M_alt 'P 1'
_space_group_IT_number 1
_cell_length_a 5.5994
_cell_length_b 5.5994
_cell_length_c 3.5496
_cell_angle_alpha 90.00
_cell_angle_beta 90.00
_cell_angle_gamma 90.00
loop_
_space_group_symop_operation_xyz
'x,y,z'
loop_
_atom_site_label
_atom_site_type_symbol
_atom_site_fract_x
_atom_site_fract_y
_atom_site_fract_z
Rb1 Rb 0.0000 0.0000 0.0000
Sn1 Sn 0.0000 0.5000 0.5000
Sn2 Sn 0.5000 0.0000 0.5000
H1 H 0.5000 0.5000 0.5000
W1 W 0.5000 0.5000 0.0000

Record 4
# GGA-PBE RbSrH, optimized geometry
# Polymorph energy (0 for the lowest one) in kJ/mol of formula units: 2
# Crystal system: trigonal
data_RbSrH
_chemical_formula_sum 'Rb2 Sr2 H2'
_space_group_name_H-M_alt 'P 1'
_space_group_IT_number 1
_cell_length_a 4.1727
_cell_length_b 4.1727
_cell_length_c 15.7787
_cell_angle_alpha 90.00
_cell_angle_beta 90.00
_cell_angle_gamma 120.00
loop_
_space_group_symop_operation_xyz
'x,y,z'
loop_
_atom_site_label
_atom_site_type_symbol
_atom_site_fract_x
_atom_site_fract_y
_atom_site_fract_z
Rb1 Rb 0.3333 0.6667 0.1334
Rb2 Rb 0.6667 0.3333 0.8666
Sr1 Sr 0.3333 0.6667 0.3891
Sr2 Sr 0.6667 0.3333 0.6109
H1 H 0.3333 0.6667 0.6778
H2 H 0.6667 0.3333 0.3222

Record 5
# GGA-PBE Rb5Sr3H12, optimized geometry
# Crystal system: cubic
data_Rb5Sr3H12
_chemical_formula_sum 'Rb20 Sr12 H48'
_space_group_name_H-M_alt 'P 1'
_space_group_IT_number 1
_cell_length_a 13.2233
_cell_length_b 13.2233
_cell_length_c 13.2233
_cell_angle_alpha 109.47
_cell_angle_beta 109.47
_cell_angle_gamma 109.47
loop_
_space_group_symop_operation_xyz
'x,y,z'
loop_
_atom_site_label
_atom_site_type_symbol
_atom_site_fract_x
_atom_site_fract_y
_atom_site_fract_z
Rb1 Rb 0.0000 0.0000 0.0000
Rb2 Rb 0.0000 0.0000 0.5000
Rb3 Rb 0.0000 0.5000 0.0000
Rb4 Rb 0.0000 0.5000 0.5000
Rb5 Rb 0.1250 0.7500 0.8750
Rb6 Rb 0.1250 0.8750 0.2500
Rb7 Rb 0.2500 0.1250 0.8750
Rb8 Rb 0.2500 0.6250 0.3750
Rb9 Rb 0.3750 0.2500 0.6250
Rb10 Rb 0.3750 0.6250 0.7500
Rb11 Rb 0.5000 0.0000 0.0000
Rb12 Rb 0.5000 0.0000 0.5000
Rb13 Rb 0.5000 0.5000 0.0000
Rb14 Rb 0.5000 0.5000 0.5000
Rb15 Rb 0.6250 0.3750 0.2500
Rb16 Rb 0.6250 0.7500 0.3750
Rb17 Rb 0.7500 0.3750 0.6250
Rb18 Rb 0.7500 0.8750 0.1250
Rb19 Rb 0.8750 0.1250 0.7500
Rb20 Rb 0.8750 0.2500 0.1250
Sr1 Sr 0.1250 0.2500 0.3750
Sr2 Sr 0.1250 0.3750 0.7500
Sr3 Sr 0.2500 0.3750 0.1250
Sr4 Sr 0.2500 0.8750 0.6250
Sr5 Sr 0.3750 0.1250 0.2500
Sr6 Sr 0.3750 0.7500 0.1250
Sr7 Sr 0.6250 0.2500 0.8750
Sr8 Sr 0.6250 0.8750 0.7500
Sr9 Sr 0.7500 0.1250 0.3750
Sr10 Sr 0.7500 0.6250 0.8750
Sr11 Sr 0.8750 0.6250 0.2500
Sr12 Sr 0.8750 0.7500 0.6250
H1 H 0.0689 0.6450 0.3985
H2 H 0.0689 0.9239 0.6704
H3 H 0.0761 0.2465 0.1450
H4 H 0.0761 0.3296 0.9311
H5 H 0.1015 0.7465 0.6704
H6 H 0.1015 0.8550 0.4311
H7 H 0.1450 0.0761 0.2465
H8 H 0.1450 0.5689 0.8985
H9 H 0.1704 0.2465 0.6015
H10 H 0.1704 0.4239 0.5689
H11 H 0.2465 0.1450 0.0761
H12 H 0.2465 0.6015 0.1704
H13 H 0.2535 0.3296 0.8985
H14 H 0.2535 0.4239 0.3550
H15 H 0.3296 0.8985 0.2535
H16 H 0.3296 0.9311 0.0761
H17 H 0.3550 0.2535 0.4239
H18 H 0.3550 0.6015 0.9311
H19 H 0.3985 0.0689 0.6450
H20 H 0.3985 0.8296 0.7535
H21 H 0.4239 0.3550 0.2535
H22 H 0.4239 0.5689 0.1704
H23 H 0.4311 0.1015 0.8550
H24 H 0.4311 0.8296 0.5761
H25 H 0.5689 0.1704 0.4239
H26 H 0.5689 0.8985 0.1450
H27 H 0.5761 0.4311 0.8296
H28 H 0.5761 0.6450 0.7465
H29 H 0.6015 0.1704 0.2465
H30 H 0.6015 0.9311 0.3550
H31 H 0.6450 0.3985 0.0689
H32 H 0.6450 0.7465 0.5761
H33 H 0.6704 0.0689 0.9239
H34 H 0.6704 0.1015 0.7465
H35 H 0.7465 0.5761 0.6450
H36 H 0.7465 0.6704 0.1015
H37 H 0.7535 0.3985 0.8296
H38 H 0.7535 0.8550 0.9239
H39 H 0.8296 0.5761 0.4311
H40 H 0.8296 0.7535 0.3985
H41 H 0.8550 0.4311 0.1015
H42 H 0.8550 0.9239 0.7535
H43 H 0.8985 0.1450 0.5689
H44 H 0.8985 0.2535 0.3296
H45 H 0.9239 0.6704 0.0689
H46 H 0.9239 0.7535 0.8550
H47 H 0.9311 0.0761 0.3296
H48 H 0.9311 0.3550 0.6015

Record 6
# GGA-PBE RbSrH2, optimized geometry
# Polymorph energy (0 for the lowest one) in kJ/mol of formula units: 141
# Crystal system: cubic
data_RbSrH2
_chemical_formula_sum 'Rb1 Sr1 H2'
_space_group_name_H-M_alt 'P 1'
_space_group_IT_number 1
_cell_length_a 5.0107
_cell_length_b 5.0107
_cell_length_c 5.0107
_cell_angle_alpha 60.00
_cell_angle_beta 60.00
_cell_angle_gamma 60.00
loop_
_space_group_symop_operation_xyz
'x,y,z'
loop_
_atom_site_label
_atom_site_type_symbol
_atom_site_fract_x
_atom_site_fract_y
_atom_site_fract_z
Rb1 Rb 0.0000 0.0000 0.0000
Sr1 Sr 0.5000 0.5000 0.5000
H1 H 0.2500 0.2500 0.2500
H2 H 0.7500 0.7500 0.7500

Record 7
# GGA-PBE RbSrH, optimized geometry
# Polymorph energy (0 for the lowest one) in kJ/mol of formula units: 0
# Crystal system: trigonal
data_RbSrH
_chemical_formula_sum 'Rb1 Sr1 H1'
_space_group_name_H-M_alt 'P 1'
_space_group_IT_number 1
_cell_length_a 4.1550
_cell_length_b 4.1550
_cell_length_c 7.2813
_cell_angle_alpha 90.00
_cell_angle_beta 90.00
_cell_angle_gamma 120.00
loop_
_space_group_symop_operation_xyz
'x,y,z'
loop_
_atom_site_label
_atom_site_type_symbol
_atom_site_fract_x
_atom_site_fract_y
_atom_site_fract_z
Rb1 Rb 0.0000 0.0000 0.0000
Sr1 Sr 0.3333 0.6667 0.4716
H1 H 0.6667 0.3333 0.2902

Record 8
# GGA-PBE RbSrH2, optimized geometry
# Polymorph energy (0 for the lowest one) in kJ/mol of formula units: 24
# Crystal system: tetragonal
data_RbSrH2
_chemical_formula_sum 'Rb2 Sr2 H4'
_space_group_name_H-M_alt 'P 1'
_space_group_IT_number 1
_cell_length_a 7.6090
_cell_length_b 7.6090
_cell_length_c 7.6090
_cell_angle_alpha 129.56
_cell_angle_beta 129.56
_cell_angle_gamma 74.11
loop_
_space_group_symop_operation_xyz
'x,y,z'
loop_
_atom_site_label
_atom_site_type_symbol
_atom_site_fract_x
_atom_site_fract_y
_atom_site_fract_z
Rb1 Rb 0.0000 0.0000 0.0000
Rb2 Rb 0.7500 0.2500 0.5000
Sr1 Sr 0.2500 0.7500 0.5000
Sr2 Sr 0.5000 0.5000 0.0000
H1 H 0.2590 0.6250 0.1340
H2 H 0.3750 0.5090 0.6340
H3 H 0.4910 0.1250 0.8660
H4 H 0.8750 0.7410 0.3660

Number 1: D(E_F) 2.78 states/eV/cell, total DFT energy (no corrections) -9.5 eV for the cell shown. Number 2: D(E_F) 6.46 states/eV/cell, total DFT energy (no corrections) -22.5 eV for the cell shown. Number 3: D(E_F) 3.82 states/eV/cell, total DFT energy (no corrections) -20.8 eV for the cell shown. Number 4: D(E_F) 3.34 states/eV/cell, total DFT energy (no corrections) -12.3 eV for the cell shown. Number 5: D(E_F) 35.66 states/eV/cell, total DFT energy (no corrections) -206.9 eV for the cell shown. Number 6: D(E_F) 2.16 states/eV/cell, total DFT energy (no corrections) -8.7 eV for the cell shown. Number 7: D(E_F) 1.09 states/eV/cell, total DFT energy (no corrections) -6.1 eV for the cell shown. Number 8: D(E_F) 2.56 states/eV/cell, total DFT energy (no corrections) -19.9 eV for the cell shown.